Here is a relaxed AgRhF2 crystal from Alexandria via LeMat-Bulk. Energies are from GGA-PBE.

abc: 2.8483 2.8483 23.1848
angles: 90.00 90.00 120.00
Closest atoms and distances in Å follow each position.
Space group R-3m (No. 166, hexagonal axes)
Unique sites:
Ag 0.0000 0.0000 0.0000 [3 per cell]  6 F 2.48
Rh 0.0000 0.0000 0.5000 [3 per cell]  2 F 2.00
F 0.0000 0.0000 0.4135 [6 per cell]  1 Rh 2.00

energy above the lowest structure with this stoichiometry: 0 meV per atom
formation energy from raw total energies: -73 kJ/mol of atoms
uncorrected energy: -4.241 eV/atom

---

Here is a relaxed LiTc crystal from Alexandria via LeMat-Bulk. Energies are from GGA-PBE.

abc: 8.8813 2.4922 5.2692
angles: 90.00 91.38 90.00
Closest atoms and distances in Å follow each position.
Space group C2/m (No. 12)
Unique sites:
Li 0.1233 0.0000 0.3904 [4 per cell]  3 Li 2.49-2.50, 1 Tc 2.78
Tc 0.1201 0.5000 0.9016 [4 per cell]  3 Tc 2.39-2.49

energy above the lowest structure with this stoichiometry: 128 meV per atom
uncorrected energy: -5.918 eV/atom

---

Here is a relaxed MnV4Ni12 crystal from Alexandria via LeMat-Bulk. Energies are from GGA-PBE.

abc: 7.3942 7.3942 7.3942
angles: 90.00 90.00 90.00
Closest atoms and distances in Å follow each position.
Space group Im-3m (No. 229)
Unique sites:
Mn 0.0000 0.0000 0.0000 [2 per cell]  6 Ni 2.22
V 0.2500 0.2500 0.2500 [8 per cell]  12 Ni 2.61-2.64
Ni 0.0000 0.0000 0.3004 [12 per cell]  1 Mn 2.22, 4 Ni 2.37
Ni 0.0000 0.2500 0.5000 [12 per cell]  8 Ni 2.37-2.61, 4 V 2.61

uncorrected energy: -6.691 eV/atom

---

Here is a relaxed TiV2Se2S4 crystal from Alexandria via LeMat-Bulk. Energies are from GGA-PBE.

abc: 3.2792 3.2792 20.5023
angles: 90.00 90.00 120.00
Closest atoms and distances in Å follow each position.
Space group P3m1 (No. 156)
Unique sites:
Ti 0.0000 0.0000 0.0000 [1 per cell]  6 Se 2.53
V 0.0000 0.0000 0.6479 [1 per cell]  6 S 2.39-2.40
V 0.6667 0.3333 0.3318 [1 per cell]  6 S 2.39-2.40
Se 0.6667 0.3333 0.0821 [1 per cell]  3 Ti 2.53
Se 0.6667 0.3333 0.9178 [1 per cell]  3 Ti 2.53
S 0.0000 0.0000 0.2602 [1 per cell]  3 V 2.40
S 0.0000 0.0000 0.4032 [1 per cell]  3 V 2.39
S 0.6667 0.3333 0.5765 [1 per cell]  3 V 2.39
S 0.6667 0.3333 0.7195 [1 per cell]  3 V 2.40

formation energy from raw total energies: -84 kJ/mol of atoms
uncorrected energy: -6.379 eV/atom

---

Here is a relaxed Pm2Sm6Dy3Mg crystal from Alexandria via LeMat-Bulk. Energies are from GGA-PBE.

abc: 6.2043 10.7544 11.8353
angles: 90.00 100.10 90.00
Closest atoms and distances in Å follow each position.
Space group C2/m (No. 12)
Unique sites:
Pm 0.0000 0.1669 0.0000 [4 per cell]  3 Pm 3.58-3.59, 3 Mg 3.58, 6 Sm 3.59-3.60
Sm 0.2484 0.5000 0.7478 [4 per cell]  3 Dy 3.55-3.56, 6 Sm 3.56-3.60, 1 Mg 3.59, 2 Pm 3.60
Sm 0.2488 0.3344 0.2512 [8 per cell]  3 Dy 3.56-3.57, 6 Sm 3.56-3.60, 1 Mg 3.58, 2 Pm 3.59
Dy 0.0000 0.0000 0.5000 [2 per cell]  6 Sm 3.56, 6 Dy 3.58-3.59
Dy 0.0000 0.3340 0.5000 [4 per cell]  6 Sm 3.55-3.57, 6 Dy 3.57-3.59
Mg 0.0000 0.5000 0.0000 [2 per cell]  6 Sm 3.58-3.59, 6 Pm 3.58

uncorrected energy: -4.420 eV/atom

---

Here is a relaxed KRu2Br crystal from Alexandria via LeMat-Bulk. Energies are from GGA-PBE.

abc: 4.0487 5.1921 5.0066
angles: 90.00 95.12 90.00
Closest atoms and distances in Å follow each position.
Space group P2/m (No. 10)
Unique sites:
K 0.0000 0.0000 0.0000 [1 per cell]  4 Br 3.08-3.36
Ru 0.2620 0.5000 0.6092 [2 per cell]  2 Ru 2.30
Br 0.5000 0.0000 0.5000 [1 per cell]  4 Ru 2.84, 2 K 3.08

energy above the lowest structure with this stoichiometry: 458 meV per atom
formation energy from raw total energies: 75 kJ/mol of atoms
uncorrected energy: -4.558 eV/atom

---

Here is a relaxed BaMgTlAu crystal from Alexandria via LeMat-Bulk. Energies are from GGA-PBE.

abc: 7.7216 7.7216 7.7216
angles: 90.00 90.00 90.00
Closest atoms and distances in Å follow each position.
Space group F-43m (No. 216)
Unique sites:
Ba 0.0000 0.0000 0.0000 [4 per cell]  4 Tl 3.34, 4 Au 3.34
Mg 0.0000 0.0000 0.5000 [4 per cell]  4 Tl 3.34, 4 Au 3.34
Tl 0.2500 0.2500 0.7500 [4 per cell]  4 Ba 3.34, 4 Mg 3.34
Au 0.2500 0.2500 0.2500 [4 per cell]  4 Ba 3.34, 4 Mg 3.34

uncorrected energy: -2.606 eV/atom

---

Here is a relaxed Dy12Ho3Sc crystal from Alexandria via LeMat-Bulk. Energies are from GGA-PBE.

abc: 4.9850 4.9850 19.8867
angles: 90.00 90.00 90.00
Closest atoms and distances in Å follow each position.
Space group P4/mmm (No. 123)
Unique sites:
Dy 0.0000 0.0000 0.0000 [1 per cell]  8 Dy 3.47, 4 Sc 3.52
Dy 0.0000 0.0000 0.2475 [2 per cell]  4 Ho 3.52, 8 Dy 3.53-3.54
Dy 0.0000 0.0000 0.5000 [1 per cell]  4 Ho 3.52, 8 Dy 3.54
Dy 0.0000 0.5000 0.1215 [4 per cell]  2 Sc 3.47, 8 Dy 3.47-3.53, 2 Ho 3.54
Dy 0.0000 0.5000 0.3738 [4 per cell]  8 Dy 3.52-3.54, 4 Ho 3.53-3.54
Ho 0.5000 0.5000 0.2481 [2 per cell]  12 Dy 3.52-3.54
Ho 0.5000 0.5000 0.5000 [1 per cell]  12 Dy 3.52-3.54
Sc 0.5000 0.5000 0.0000 [1 per cell]  12 Dy 3.47-3.52

uncorrected energy: -4.681 eV/atom

---

Here is a relaxed K2Na2Rh crystal from Alexandria via LeMat-Bulk. Energies are from GGA-PBE.

abc: 4.2297 4.2297 21.6938
angles: 90.00 90.00 90.00
Closest atoms and distances in Å follow each position.
Space group I4/mmm (No. 139)
Unique sites:
K 0.0000 0.0000 0.0813 [4 per cell]  4 Rh 3.47, 1 K 3.53
Na 0.0000 0.5000 0.2500 [4 per cell]  4 Na 2.99
Rh 0.0000 0.0000 0.5000 [2 per cell]  8 K 3.47

energy above the lowest structure with this stoichiometry: 157 meV per atom
uncorrected energy: -1.855 eV/atom

---

Here is a relaxed Sc5Cu4Tc crystal from Alexandria via LeMat-Bulk. Energies are from GGA-PBE.

abc: 3.2543 3.2543 16.3370
angles: 90.00 90.00 90.00
Closest atoms and distances in Å follow each position.
Space group P4/mmm (No. 123)
Unique sites:
Sc 0.0000 0.0000 0.0000 [1 per cell]  8 Cu 2.82
Sc 0.0000 0.0000 0.2010 [2 per cell]  8 Cu 2.82-2.83
Sc 0.0000 0.0000 0.4051 [2 per cell]  4 Tc 2.77, 4 Cu 2.86, 1 Sc 3.10
Cu 0.5000 0.5000 0.1001 [2 per cell]  8 Sc 2.82-2.83
Cu 0.5000 0.5000 0.3008 [2 per cell]  8 Sc 2.82-2.86
Tc 0.5000 0.5000 0.5000 [1 per cell]  8 Sc 2.77

uncorrected energy: -6.112 eV/atom

---

Here is a relaxed PrNbO crystal from Alexandria via LeMat-Bulk. Energies are from GGA-PBE.

abc: 3.5655 3.5655 9.6490
angles: 90.00 90.00 90.00
Closest atoms and distances in Å follow each position.
Space group P4/nmm (No. 129, origin choice 2)
Unique sites:
Pr 0.2500 0.2500 0.1526 [2 per cell]  5 O 2.42-2.57
Nb 0.2500 0.7500 0.5000 [2 per cell]  4 Nb 2.52
O 0.2500 0.2500 0.9016 [2 per cell]  5 Pr 2.42-2.57

formation energy from raw total energies: -128 kJ/mol of atoms
uncorrected energy: -7.931 eV/atom

---

Here is a relaxed Nb2Co21B6 crystal from Alexandria via LeMat-Bulk. Energies are from GGA-PBE.

abc: 10.4986 10.4986 10.4986
angles: 90.00 90.00 90.00
Closest atoms and distances in Å follow each position.
Space group Fm-3m (No. 225)
Unique sites:
Nb 0.2500 0.2500 0.2500 [8 per cell]  4 Co 2.43
Co 0.0000 0.0000 0.0000 [4 per cell]  12 Co 2.51
Co 0.0000 0.1690 0.1690 [48 per cell]  2 B 2.09
Co 0.1164 0.1164 0.3836 [32 per cell]  3 B 2.08
B 0.0000 0.0000 0.2739 [24 per cell]  8 Co 2.08-2.09

uncorrected energy: -7.488 eV/atom

---

Number 1: V 13.6 Å³ per atom. Number 2: V 14.6 Å³ per atom. Number 3: V 11.9 Å³ per atom. Number 4: V 21.2 Å³ per atom. Number 5: V 32.4 Å³ per atom. Number 6: V 26.2 Å³ per atom. Number 7: V 28.8 Å³ per atom. Number 8: V 30.9 Å³ per atom. Number 9: V 38.8 Å³ per atom. Number 10: V 17.3 Å³ per atom. Number 11: V 20.4 Å³ per atom. Number 12: V 10.0 Å³ per atom.